Crystalline MnBPb2N at its relaxed geometry, computed with GGA-PBE.

Unit cell a=5.757 b=2.841 c=5.757 alpha=90.00 beta=90.00 gamma=90.00
Positions (direct):
Pb 0.500 0.000 0.000
Pb 0.000 0.000 0.500
Mn 0.500 0.500 0.500
N 0.000 0.500 0.000
B 0.000 0.000 0.000

Calculated values
Formation energy from raw total energies in eV/atom: 0.46
Space group: P4/mmm (123)
ρ in g/cm3: 8.71